No. 1
The following is a DFT calculation (PBE) of La5CdOs2 after structural relaxation.

abc: 8.092 8.092 9.208
angles: 116.07 116.07 90.00
Element x y z (fractional)
La1 0.534 0.712 0.746
La2 0.788 0.966 0.254
La3 0.000 0.000 0.000
La4 0.500 0.500 0.000
La5 0.212 0.034 0.746
La6 0.712 0.212 0.746
La7 0.034 0.534 0.746
La8 0.288 0.788 0.254
La9 0.966 0.466 0.254
La10 0.466 0.288 0.254
Cd1 0.750 0.750 0.500
Cd2 0.250 0.250 0.500
Os1 0.139 0.361 0.000
Os2 0.639 0.139 0.000
Os3 0.361 0.861 0.000
Os4 0.861 0.639 0.000

Output
M_tot   0.00 μB per formula unit
Volume   29.52 Å³/atom
Space-group type   I4/mcm

---

No. 2
The following is a DFT calculation (PBE) of Er2Ag2C after structural relaxation.

abc: 3.525 3.525 9.698
angles: 79.53 79.53 60.00
Element x y z (fractional)
Er1 0.380 0.380 0.859
Er2 0.620 0.620 0.141
Ag1 0.869 0.869 0.394
Ag2 0.131 0.131 0.606
C1 0.000 0.000 0.000

Output
M_tot   0.00 μB per formula unit
Volume   20.40 Å³/atom
Space-group type   R-3m

---

No. 3
The following is a DFT calculation (PBE) of AlVSb after structural relaxation.

abc: 3.021 8.616 10.017
angles: 101.18 98.67 90.00
Element x y z (fractional)
Sb1 0.080 0.281 0.161
Sb2 0.412 0.201 0.823
Sb3 0.588 0.799 0.177
Sb4 0.920 0.719 0.839
Al1 0.252 0.625 0.505
Al2 0.734 0.868 0.467
Al3 0.748 0.375 0.495
Al4 0.266 0.132 0.533
V1 0.360 0.463 0.720
V2 0.653 0.103 0.305
V3 0.640 0.537 0.280
V4 0.347 0.897 0.695

Output
E_form (uncorrected)   0.55 eV per formula unit
M_tot   0.14 μB per formula unit
Volume   21.06 Å³/atom
Space-group type   C2/m

---

No. 4
The following is a DFT calculation (PBE) of SmCd5Pd after structural relaxation.

abc: 4.757 4.757 7.337
angles: 90.00 90.00 90.00
Element x y z (fractional)
Sm1 0.000 0.000 0.000
Cd1 0.500 0.000 0.703
Cd2 0.000 0.500 0.703
Cd3 0.500 0.500 0.000
Cd4 0.000 0.500 0.297
Cd5 0.500 0.000 0.297
Pd1 0.000 0.000 0.500

Output
M_tot   0.00 μB per formula unit
Volume   23.72 Å³/atom
Space-group type   P4/mmm

---

No. 5
The following is a DFT calculation (PBE) of AcMg2AlPd4 after structural relaxation.

abc: 4.434 4.434 9.450
angles: 76.43 76.43 60.00
Element x y z (fractional)
Ac1 0.000 0.000 0.000
Mg1 0.766 0.766 0.703
Mg2 0.234 0.234 0.297
Al1 0.500 0.500 0.500
Pd1 0.406 0.406 0.783
Pd2 0.864 0.864 0.407
Pd3 0.136 0.136 0.593
Pd4 0.594 0.594 0.217

Output
M_tot   0.00 μB per formula unit
Volume   19.36 Å³/atom
Space-group type   R-3m

---

No. 6
The following is a DFT calculation (PBE) of Ce2ScGa3 after structural relaxation.

abc: 6.013 6.013 8.456
angles: 90.00 90.00 120.00
Element x y z (fractional)
Ce1 0.667 0.333 0.416
Ce2 0.333 0.667 0.584
Ce3 0.333 0.667 0.916
Ce4 0.667 0.333 0.084
Sc1 0.000 0.000 0.500
Sc2 0.000 0.000 0.000
Ga1 0.184 0.367 0.250
Ga2 0.367 0.184 0.750
Ga3 0.816 0.633 0.750
Ga4 0.184 0.816 0.250
Ga5 0.816 0.184 0.750
Ga6 0.633 0.816 0.250

Output
M_tot   1.70 μB per formula unit
Volume   22.06 Å³/atom
Space-group type   P6_3/mmc

---

No. 7
The following is a DFT calculation (PBE) of Pa4FeGe after structural relaxation.

abc: 5.614 5.270 8.987
angles: 90.00 80.81 90.00
Element x y z (fractional)
Pa1 0.964 0.500 0.158
Pa2 0.536 0.000 0.842
Pa3 0.400 0.500 0.363
Pa4 0.100 0.000 0.637
Pa5 0.036 0.500 0.842
Pa6 0.464 0.000 0.158
Pa7 0.600 0.500 0.637
Pa8 0.900 0.000 0.363
Fe1 0.500 0.000 0.500
Fe2 0.000 0.500 0.500
Ge1 0.000 0.000 0.000
Ge2 0.500 0.500 0.000

Output
M_tot   0.01 μB per formula unit
Volume   21.87 Å³/atom
Space-group type   C2/m

---

No. 8
The following is a DFT calculation (PBE) of SmDySbAs after structural relaxation.

abc: 4.281 4.281 7.488
angles: 73.39 73.39 60.00
Element x y z (fractional)
Sm1 0.994 0.994 0.017
Dy1 0.506 0.506 0.483
Sb1 0.752 0.752 0.744
As1 0.248 0.248 0.256

Output
E_form (uncorrected)   -5.30 eV per formula unit
M_tot   0.00 μB per formula unit
Volume   28.05 Å³/atom
Space-group type   R3m

---

E_tot readings, ordered: -49.8 -25.1 -16.4 -16.6 -37.9 -30.6 -51.8 -23.4 eV per formula unit